The following is a PBE calculation of crystalline ReSbTe2Rh at its relaxed geometry, from Alexandria via LeMat-Bulk.

Computed properties:
Calculated total energy = -24.496 eV for the cell shown
Symmetry = P4/mmm, No. 123
Distance to the lowest polymorph of the same formula = 0 kJ/mol of formula units
M_tot = 0.002 μB/f.u.

```
ReSbTe2Rh
1.0
5.170 0.000 0.000
0.000 5.170 0.000
0.000 0.000 5.106
Re Sb Te Rh
1 1 2 1
Cartesian
0.000 0.000 0.000 Re
0.000 0.000 2.553 Sb
0.000 2.585 0.000 Te
2.585 0.000 0.000 Te
2.585 2.585 2.553 Rh
```